Record 1
Entry from Alexandria via LeMat-Bulk: a relaxed Mn3CoS6 crystal (GGA-PBE).

Geometry as CIF:
```
data_Mn3CoS6
_chemical_formula_sum 'Mn6 Co2 S12'
_cell_length_a 6.2374
_cell_length_b 5.7930
_cell_length_c 11.0525
_cell_angle_alpha 90.00
_cell_angle_beta 123.03
_cell_angle_gamma 90.00
_symmetry_space_group_name_H-M 'P 1 21/c 1'
_symmetry_Int_Tables_number 14
loop_
_symmetry_equiv_pos_as_xyz
'x,y,z'
'-x,-y,-z'
'-x,y+1/2,-z+1/2'
'x,-y+1/2,z+1/2'
loop_
_atom_site_label
_atom_site_fract_x
_atom_site_fract_y
_atom_site_fract_z
Mn1 0.0000 0.0000 0.0000
Mn2 0.4806 0.1190 0.7489
Co1 0.5000 0.0000 0.5000
S1 0.2025 0.1093 0.2569
S2 0.2249 0.6441 0.0614
S3 0.4080 0.1523 0.0598
```

Output
Energy relative to the elements, uncorrected (eV per atom): -0.39
Fermi-level density of states (states/eV per atom): 0.5816
Size of the total moment (μB/cell): 19.00
Total energy (eV per atom): -6.330

Record 2
Entry from Alexandria via LeMat-Bulk: a relaxed MnCo3S crystal (GGA-PBE).

Geometry as CIF:
```
data_MnCo3S
_chemical_formula_sum 'Mn1 Co3 S1'
_cell_length_a 4.0578
_cell_length_b 4.0578
_cell_length_c 4.0578
_cell_angle_alpha 90.00
_cell_angle_beta 90.00
_cell_angle_gamma 90.00
_symmetry_space_group_name_H-M 'P m -3 m'
_symmetry_Int_Tables_number 221
_symmetry_space_group_name_Hall '-P 4 2 3'
loop_
_atom_site_label
_atom_site_fract_x
_atom_site_fract_y
_atom_site_fract_z
Mn1 0.0000 0.0000 0.0000
Co1 0.0000 0.5000 0.5000
S1 0.5000 0.5000 0.5000
```

Output
Energy relative to the elements, uncorrected (eV per atom): 0.68
Fermi-level density of states (states/eV per atom): 2.2389
Size of the total moment (μB/cell): 3.33
Total energy (eV per atom): -6.245